(1)
PmHoZnBi: relaxed, GGA-PBE.

POSCAR file:
```
PmHoZnBi
1.0
0.0000 3.7737 3.7737
3.7737 0.0000 3.7737
3.7737 3.7737 0.0000
Pm Ho Zn Bi
1 1 1 1
Direct
0.0000 0.0000 0.0000
0.5000 0.5000 0.5000
0.7500 0.7500 0.7500
0.2500 0.2500 0.2500
```

Its crystal system is cubic. The value obtained for the formation energy is -411 meV/atom.

=====

(2)
Ag6Pd3F14: relaxed, GGA-PBE.

POSCAR file:
```
Ag6Pd3F14
1.0
8.5143 0.0000 0.0000
-4.2571 7.3736 0.0000
0.0000 0.0000 6.0710
Ag Pd F
6 3 14
Direct
0.1084 0.7130 0.0000
0.2870 0.3954 0.0000
0.3072 0.0964 0.4413
0.6046 0.8916 0.0000
0.7892 0.6928 0.4413
0.9036 0.2108 0.4413
0.0000 0.0000 0.8942
0.3333 0.6667 0.4751
0.6667 0.3333 0.9110
0.0000 0.0000 0.2397
0.0540 0.8398 0.6660
0.1302 0.4763 0.2599
0.1602 0.2141 0.6660
0.3333 0.6667 0.8261
0.3460 0.8698 0.2599
0.4486 0.2506 0.1032
0.5237 0.6540 0.2599
0.5314 0.1169 0.7220
0.5855 0.4686 0.7220
0.7494 0.1980 0.1032
0.7859 0.9460 0.6660
0.8020 0.5514 0.1032
0.8831 0.4145 0.7220
```

Its crystal system is trigonal. The uncorrected formation energy comes out at -1.025 eV/atom.